[1]
Crystalline TlZnRu3 at its relaxed geometry. Source: Alexandria via LeMat-Bulk, functional PBE.

Unit cell a=4.598 b=4.598 c=4.598 alpha=90.00 beta=90.00 gamma=90.00
Atoms (fractional coordinates):
Tl: 0.000 0.000 0.000
Zn: 0.500 0.500 0.500
Ru: 0.000 0.500 0.500
Ru: 0.500 0.000 0.500
Ru: 0.500 0.500 0.000

Properties
**Final energy**: -4.93 eV per atom
**ΔH_f (0 K)**: 6.83 eV/f.u.
**Fermi-level density of states**: 4.12 states/eV/f.u.
**Magnetization**: 4.97 μB per cell
**Energy above the lowest structure with this stoichiometry**: 0.0 meV per atom

---

[2]
Crystalline Tl2ZnRu at its relaxed geometry. Source: Alexandria via LeMat-Bulk, functional PBE.

Unit cell a=4.883 b=4.883 c=3.283 alpha=90.00 beta=90.00 gamma=90.00
Atoms (fractional coordinates):
Tl: 0.000 0.500 0.000
Tl: 0.500 0.000 0.000
Zn: 0.000 0.000 0.500
Ru: 0.500 0.500 0.500

Properties
**Final energy**: -3.31 eV per atom
**ΔH_f (0 K)**: 2.02 eV/f.u.
**Fermi-level density of states**: 2.61 states/eV/f.u.
**Magnetization**: 0.00 μB per cell
**Energy above the lowest structure with this stoichiometry**: 232.3 meV per atom

---

[3]
Crystalline TlZn3Ru at its relaxed geometry. Source: Alexandria via LeMat-Bulk, functional PBE.

Unit cell a=4.859 b=4.859 c=4.859 alpha=90.00 beta=90.00 gamma=90.00
Atoms (fractional coordinates):
Tl: 0.000 0.000 0.000
Zn: 0.000 0.500 0.500
Zn: 0.500 0.000 0.500
Zn: 0.500 0.500 0.000
Ru: 0.500 0.500 0.500

Properties
**Final energy**: -2.76 eV per atom
**ΔH_f (0 K)**: 1.67 eV/f.u.
**Fermi-level density of states**: 1.57 states/eV/f.u.
**Magnetization**: 0.00 μB per cell
**Energy above the lowest structure with this stoichiometry**: 0.0 meV per atom

---

[4]
Crystalline Tl2ZnRu at its relaxed geometry. Source: Alexandria via LeMat-Bulk, functional PBE.

Unit cell a=5.227 b=5.227 c=5.227 alpha=132.08 beta=132.08 gamma=70.09
Atoms (fractional coordinates):
Tl: 0.250 0.750 0.500
Tl: 0.750 0.250 0.500
Zn: 0.000 0.000 0.000
Ru: 0.500 0.500 0.000

Properties
**Final energy**: -3.32 eV per atom
**ΔH_f (0 K)**: 2.00 eV/f.u.
**Fermi-level density of states**: 2.88 states/eV/f.u.
**Magnetization**: 0.00 μB per cell
**Energy above the lowest structure with this stoichiometry**: 226.6 meV per atom

---

[5]
Crystalline Tl2ZnRu at its relaxed geometry. Source: Alexandria via LeMat-Bulk, functional PBE.

Unit cell a=4.888 b=4.888 c=3.340 alpha=90.00 beta=90.00 gamma=101.61
Atoms (fractional coordinates):
Tl: 0.000 0.500 0.000
Tl: 0.500 0.000 0.000
Zn: 0.000 0.000 0.500
Ru: 0.500 0.500 0.500

Properties
**Final energy**: -3.32 eV per atom
**ΔH_f (0 K)**: 2.01 eV/f.u.
**Fermi-level density of states**: 3.70 states/eV/f.u.
**Magnetization**: 0.00 μB per cell
**Energy above the lowest structure with this stoichiometry**: 230.3 meV per atom

---

[6]
Crystalline Tl2ZnRu at its relaxed geometry. Source: Alexandria via LeMat-Bulk, functional PBE.

Unit cell a=4.202 b=5.561 c=5.561 alpha=38.62 beta=90.00 gamma=90.00
Atoms (fractional coordinates):
Tl: 0.000 0.000 0.000
Tl: 0.500 0.304 0.304
Zn: 0.500 0.585 0.585
Ru: 0.000 0.726 0.726

Properties
**Final energy**: -3.50 eV per atom
**ΔH_f (0 K)**: 1.30 eV/f.u.
**Fermi-level density of states**: 2.93 states/eV/f.u.
**Magnetization**: 0.00 μB per cell
**Energy above the lowest structure with this stoichiometry**: 51.8 meV per atom

---

[7]
Crystalline Tl2ZnRu at its relaxed geometry. Source: Alexandria via LeMat-Bulk, functional PBE.

Unit cell a=6.743 b=6.743 c=6.743 alpha=153.18 beta=140.22 gamma=48.63
Atoms (fractional coordinates):
Tl: 0.000 0.000 0.000
Tl: 0.706 0.206 0.500
Zn: 0.330 0.830 0.500
Ru: 0.498 0.498 0.000

Properties
**Final energy**: -3.50 eV per atom
**ΔH_f (0 K)**: 1.29 eV/f.u.
**Fermi-level density of states**: 3.17 states/eV/f.u.
**Magnetization**: 0.00 μB per cell
**Energy above the lowest structure with this stoichiometry**: 49.3 meV per atom

---

[8]
Crystalline Tl2ZnRu at its relaxed geometry. Source: Alexandria via LeMat-Bulk, functional PBE.

Unit cell a=9.070 b=9.070 c=9.070 alpha=20.84 beta=20.84 gamma=20.84
Atoms (fractional coordinates):
Tl: 0.245 0.245 0.245
Tl: 0.755 0.755 0.755
Zn: 0.000 0.000 0.000
Ru: 0.500 0.500 0.500

Properties
**Final energy**: -3.32 eV per atom
**ΔH_f (0 K)**: 2.01 eV/f.u.
**Fermi-level density of states**: 2.92 states/eV/f.u.
**Magnetization**: 0.33 μB per cell
**Energy above the lowest structure with this stoichiometry**: 230.4 meV per atom

---

[9]
Crystalline TlZnRu4 at its relaxed geometry. Source: Alexandria via LeMat-Bulk, functional PBE.

Unit cell a=5.195 b=5.195 c=5.195 alpha=60.00 beta=60.00 gamma=60.00
Atoms (fractional coordinates):
Tl: 0.000 0.000 0.000
Zn: 0.750 0.750 0.750
Ru: 0.375 0.375 0.375
Ru: 0.375 0.375 0.874
Ru: 0.375 0.874 0.375
Ru: 0.874 0.375 0.375

Properties
**Final energy**: -6.17 eV per atom
**ΔH_f (0 K)**: 3.72 eV/f.u.
**Fermi-level density of states**: 6.35 states/eV/f.u.
**Magnetization**: 2.58 μB per cell

---

[10]
Crystalline Tl2ZnRu at its relaxed geometry. Source: Alexandria via LeMat-Bulk, functional PBE.

Unit cell a=9.511 b=9.511 c=9.511 alpha=19.68 beta=19.68 gamma=19.68
Atoms (fractional coordinates):
Tl: 0.000 0.000 0.000
Tl: 0.229 0.229 0.229
Zn: 0.756 0.756 0.756
Ru: 0.486 0.486 0.486

Properties
**Final energy**: -3.43 eV per atom
**ΔH_f (0 K)**: 1.57 eV/f.u.
**Fermi-level density of states**: 2.82 states/eV/f.u.
**Magnetization**: 0.46 μB per cell
**Energy above the lowest structure with this stoichiometry**: 120.4 meV per atom

---

[11]
Crystalline TlZnRu3 at its relaxed geometry. Source: Alexandria via LeMat-Bulk, functional PBE.

Unit cell a=4.981 b=4.981 c=4.981 alpha=90.00 beta=90.00 gamma=90.00
Atoms (fractional coordinates):
Tl: 0.000 0.000 0.000
Zn: 0.500 0.500 0.500
Ru: 0.000 0.000 0.500
Ru: 0.000 0.500 0.000
Ru: 0.500 0.000 0.000

Properties
**Final energy**: -4.05 eV per atom
**ΔH_f (0 K)**: 11.20 eV/f.u.
**Fermi-level density of states**: 4.68 states/eV/f.u.
**Magnetization**: 5.00 μB per cell
**Energy above the lowest structure with this stoichiometry**: 873.6 meV per atom

---

[12]
Crystalline Tl2ZnRu at its relaxed geometry. Source: Alexandria via LeMat-Bulk, functional PBE.

Unit cell a=4.821 b=4.821 c=4.821 alpha=60.00 beta=60.00 gamma=60.00
Atoms (fractional coordinates):
Tl: 0.250 0.250 0.250
Tl: 0.750 0.750 0.750
Zn: 0.000 0.000 0.000
Ru: 0.500 0.500 0.500

Properties
**Final energy**: -3.22 eV per atom
**ΔH_f (0 K)**: 2.41 eV/f.u.
**Fermi-level density of states**: 3.88 states/eV/f.u.
**Magnetization**: 0.00 μB per cell
**Energy above the lowest structure with this stoichiometry**: 330.1 meV per atom